{
  "formula": "ReNi2PIr",
  "functional": "PBE-GGA",
  "state": "optimized geometry",
  "dft_energy_ev_per_atom": -7.015,
  "e_form_ev_per_atom": 0.64,
  "vol_a3_per_atom": 14.640,
  "lattice": [[-1.157, 0.976, -3.777], [-4.162, -1.115, 0.987], [-0.735, 3.815, 1.210]],
  "species": ["Re", "Ir", "P", "Ni", "Ni"],
  "fractional_positions": [[0.000, 0.500, 0.000], [0.500, 0.500, 0.500], [0.000, 0.000, 0.000], [0.000, 0.000, 0.500], [0.500, 0.000, 0.000]]
}